# Cd4CoCu

Crystalline Cd4CoCu at its relaxed geometry (PBE, the Alexandria database).

Results
Energy relative to the elements ... 582 meV per atom
DOS at the Fermi energy ... 7.8 states/eV/f.u.
Theoretical density ... 7.94 g/cm3
Total energy ... -1.895 eV per atom
Spin magnetization ... 1.4 μB/cell
Space group ... F-43m (216)

Lattice parameters (Å, degrees): 5.5301 5.5301 5.5301 60.00 60.00 60.00
Site moments in Bohr magnetons follow the coordinates.
Fractional positions:
Cd  0.8746  0.3751  0.3751  -0.02
Cd  0.3751  0.3751  0.8746  -0.02
Cd  0.3751  0.8746  0.3751  -0.02
Cd  0.3751  0.3751  0.3751  -0.02
Co  0.7500  0.7500  0.7500  1.60
Cu  0.0000  0.0000  0.0000  0.00


# CdCo2Cu2

Crystalline CdCo2Cu2 at its relaxed geometry (PBE, the Alexandria database).

Results
Energy relative to the elements ... 342 meV per atom
DOS at the Fermi energy ... 9.7 states/eV/f.u.
Theoretical density ... 8.80 g/cm3
Relative energy among the computed polymorphs ... 35 meV per atom
Total energy ... -4.321 eV per atom
Spin magnetization ... 6.2 μB/cell
Space group ... P4/mbm (127)

Lattice parameters (Å, degrees): 7.1003 7.1003 2.6760 90.00 90.00 90.00
Site moments in Bohr magnetons follow the coordinates.
Fractional positions:
Co  0.1690  0.6690  0.5000  1.52
Co  0.6690  0.8310  0.5000  1.53
Co  0.8310  0.3310  0.5000  1.52
Co  0.3310  0.1690  0.5000  1.53
Cu  0.3750  0.8750  0.0000  0.09
Cu  0.8750  0.6250  0.0000  0.09
Cu  0.6250  0.1250  0.0000  0.09
Cu  0.1250  0.3750  0.0000  0.09
Cd  0.0000  0.0000  0.0000  -0.02
Cd  0.5000  0.5000  0.0000  -0.02


# CdCoCu

Crystalline CdCoCu at its relaxed geometry (PBE, the Alexandria database).

Results
Energy relative to the elements ... 265 meV per atom
DOS at the Fermi energy ... 3.2 states/eV/f.u.
Theoretical density ... 9.00 g/cm3
Relative energy among the computed polymorphs ... 0 meV per atom
Total energy ... -3.774 eV per atom
Spin magnetization ... 1.4 μB/cell
Space group ... I4mm (107)

Lattice parameters (Å, degrees): 5.8759 5.8759 2.7982 76.22 76.23 27.55
Site moments in Bohr magnetons follow the coordinates.
Fractional positions:
Cd  0.9979  0.9979  0.0021  -0.03
Co  0.3199  0.3199  0.6801  1.42
Cu  0.6823  0.6823  0.3177  0.05


# CdCo2Cu

Crystalline CdCo2Cu at its relaxed geometry (PBE, the Alexandria database).

Results
Energy relative to the elements ... 336 meV per atom
DOS at the Fermi energy ... 4.3 states/eV/f.u.
Theoretical density ... 8.95 g/cm3
Total energy ... -4.470 eV per atom
Spin magnetization ... 3.1 μB/cell
Space group ... Pmmm (47)

Lattice parameters (Å, degrees): 3.0389 4.1428 4.3283 90.00 90.00 90.00
Site moments in Bohr magnetons follow the coordinates.
Fractional positions:
Cd  0.0000  0.5000  0.5000  -0.04
Co  0.0000  0.0000  0.0000  1.73
Co  0.5000  0.5000  0.0000  1.58
Cu  0.5000  0.0000  0.5000  -0.01


# CdCo2Cu

Crystalline CdCo2Cu at its relaxed geometry (PBE, the Alexandria database).

Results
Energy relative to the elements ... 369 meV per atom
DOS at the Fermi energy ... 5.3 states/eV/f.u.
Theoretical density ... 8.94 g/cm3
Total energy ... -4.437 eV per atom
Spin magnetization ... 3.1 μB/cell
Space group ... Cmmm (65)

Lattice parameters (Å, degrees): 4.7242 4.7242 2.6646 90.00 90.00 113.36
Site moments in Bohr magnetons follow the coordinates.
Fractional positions:
Cd  0.0000  0.5000  0.5000  -0.04
Co  0.0000  0.0000  0.0000  1.61
Co  0.5000  0.5000  0.0000  1.61
Cu  0.5000  0.0000  0.5000  0.06


# Cd2CoCu2

Crystalline Cd2CoCu2 at its relaxed geometry (PBE, the Alexandria database).

Results
Energy relative to the elements ... 298 meV per atom
DOS at the Fermi energy ... 5.0 states/eV/f.u.
Theoretical density ... 8.54 g/cm3
Total energy ... -3.127 eV per atom
Spin magnetization ... 3.3 μB/cell
Space group ... P4/mbm (127)

Lattice parameters (Å, degrees): 6.3257 6.3257 3.9941 90.00 90.00 90.00
Site moments in Bohr magnetons follow the coordinates.
Fractional positions:
Co  0.0000  0.0000  0.0000  1.59
Co  0.5000  0.5000  0.0000  1.60
Cu  0.3662  0.8662  0.0000  0.03
Cu  0.8662  0.6338  0.0000  0.03
Cu  0.6338  0.1338  0.0000  0.03
Cu  0.1338  0.3662  0.0000  0.03
Cd  0.1748  0.6748  0.5000  0.00
Cd  0.6748  0.8252  0.5000  0.00
Cd  0.8252  0.3252  0.5000  0.00
Cd  0.3252  0.1748  0.5000  0.00


# CdCo2Cu

Crystalline CdCo2Cu at its relaxed geometry (PBE, the Alexandria database).

Results
Energy relative to the elements ... 327 meV per atom
DOS at the Fermi energy ... 5.9 states/eV/f.u.
Theoretical density ... 9.00 g/cm3
Total energy ... -4.478 eV per atom
Spin magnetization ... 3.1 μB/cell
Space group ... I4/mmm (139)

Lattice parameters (Å, degrees): 4.7684 4.7684 4.7684 134.54 134.54 66.24
Site moments in Bohr magnetons follow the coordinates.
Fractional positions:
Cd  0.7500  0.2500  0.5000  -0.04
Co  0.0000  0.0000  0.0000  1.61
Co  0.5000  0.5000  0.0000  1.61
Cu  0.2500  0.7500  0.5000  0.04


# Cd2CoCu4

Crystalline Cd2CoCu4 at its relaxed geometry (PBE, the Alexandria database).

Results
Energy relative to the elements ... 667 meV per atom
DOS at the Fermi energy ... 6.5 states/eV/f.u.
Theoretical density ... 6.89 g/cm3
Total energy ... -2.951 eV per atom
Spin magnetization ... 1.7 μB/cell
Space group ... I4/mmm (139)

Lattice parameters (Å, degrees): 4.4283 4.4283 7.3189 72.39 72.39 90.00
Site moments in Bohr magnetons follow the coordinates.
Fractional positions:
Co  0.0000  0.0000  0.0000  1.51
Cu  0.8247  0.8247  0.3507  0.03
Cu  0.1753  0.1753  0.6493  0.03
Cu  0.0000  0.5000  0.0000  0.09
Cu  0.5000  0.0000  0.0000  0.09
Cd  0.6291  0.6291  0.7418  0.00
Cd  0.3709  0.3709  0.2582  0.00


# CdCo2Cu

Crystalline CdCo2Cu at its relaxed geometry (PBE, the Alexandria database).

Results
Energy relative to the elements ... 566 meV per atom
DOS at the Fermi energy ... 3.1 states/eV/f.u.
Theoretical density ... 8.19 g/cm3
Total energy ... -4.240 eV per atom
Spin magnetization ... 6.6 μB/cell
Space group ... I-42d (122)

Lattice parameters (Å, degrees): 3.6042 3.6042 9.5198 79.09 79.09 90.00
Site moments in Bohr magnetons follow the coordinates.
Fractional positions:
Co  0.5795  0.1250  0.2500  1.69
Co  0.1705  0.6250  0.2500  1.71
Co  0.3750  0.4205  0.7500  1.71
Co  0.8750  0.8295  0.7500  1.73
Cu  0.5000  0.5000  0.0000  0.00
Cu  0.2500  0.7500  0.5000  0.00
Cd  0.0000  0.0000  0.0000  -0.03
Cd  0.7500  0.2500  0.5000  -0.03


# CdCo4Cu

Crystalline CdCo4Cu at its relaxed geometry (PBE, the Alexandria database).

Results
Energy relative to the elements ... 256 meV per atom
DOS at the Fermi energy ... 6.7 states/eV/f.u.
Theoretical density ... 8.73 g/cm3
Total energy ... -5.316 eV per atom
Spin magnetization ... 6.7 μB/cell
Space group ... F-43m (216)

Lattice parameters (Å, degrees): 4.8027 4.8027 4.8027 60.00 60.00 60.00
Site moments in Bohr magnetons follow the coordinates.
Fractional positions:
Cd  0.0000  0.0000  0.0000  -0.04
Co  0.8733  0.3756  0.3756  1.71
Co  0.3756  0.3756  0.8733  1.71
Co  0.3756  0.8733  0.3756  1.71
Co  0.3756  0.3756  0.3756  1.71
Cu  0.7500  0.7500  0.7500  0.04


# CdCoCu

Crystalline CdCoCu at its relaxed geometry (PBE, the Alexandria database).

Results
Energy relative to the elements ... 591 meV per atom
DOS at the Fermi energy ... 7.5 states/eV/f.u.
Theoretical density ... 7.74 g/cm3
Relative energy among the computed polymorphs ... 327 meV per atom
Total energy ... -3.448 eV per atom
Spin magnetization ... 1.3 μB/cell
Space group ... F-43m (216)

Lattice parameters (Å, degrees): 4.1464 4.1464 4.1464 60.00 60.00 60.00
Site moments in Bohr magnetons follow the coordinates.
Fractional positions:
Cd  0.0000  0.0000  0.0000  -0.04
Co  0.5000  0.5000  0.5000  1.44
Cu  0.7500  0.7500  0.7500  0.04


# CdCoCu

Crystalline CdCoCu at its relaxed geometry (PBE, the Alexandria database).

Results
Energy relative to the elements ... 330 meV per atom
DOS at the Fermi energy ... 3.6 states/eV/f.u.
Theoretical density ... 8.95 g/cm3
Relative energy among the computed polymorphs ... 65 meV per atom
Total energy ... -3.709 eV per atom
Spin magnetization ... 1.4 μB/cell
Space group ... P3m1 (156)

Lattice parameters (Å, degrees): 4.3165 4.3165 2.7014 90.00 90.00 120.00
Site moments in Bohr magnetons follow the coordinates.
Fractional positions:
Cd  0.0000  0.0000  0.9965  -0.02
Co  0.6667  0.3333  0.4562  1.40
Cu  0.3333  0.6667  0.5473  0.03